(1)
Entry from the Alexandria database: an optimized crystal structure of AlW3 (PBE-GGA).

For the energy of formation from the pure elements, the calculation gives 0.29 eV/atom. The calculation puts the density of states at the Fermi level at 10.15 states/eV/cell.

It has space group R-3m (No. 166, hexagonal axes), with a = 2.8053 Å, b = 2.8053 Å, c = 28.4157 Å, α = 90.00°, β = 90.00° and γ = 120.00°. Symmetry generates all atoms from Al at (0.0000, 0.0000, 0.0000), W at (0.0000, 0.0000, 0.2525) and W at (0.0000, 0.0000, 0.5000).

(2)
Entry from the Alexandria database: an optimized crystal structure of AlW (PBE-GGA).

For the energy of formation from the pure elements, the calculation gives 0.21 eV/atom. The calculation puts the density of states at the Fermi level at 1.48 states/eV/cell.

It has space group P6_3/mmc (No. 194), with a = 4.3582 Å, b = 4.3582 Å, c = 7.8337 Å, α = 90.00°, β = 90.00° and γ = 120.00°. Symmetry generates all atoms from Al at (0.0000, 0.0000, 0.2500), Al at (0.3333, 0.6667, 0.2500) and W at (0.3333, 0.6667, 0.5775).